Entry 1:
A plane-wave DFT calculation with GGA-PBE was carried out for MgAl2Bi after structural relaxation.

Unit cell a=8.2234 b=8.2234 c=6.5094 alpha=50.83 beta=50.83 gamma=90.00
With the nearest neighbours (Å) after each atom.
Fractional coordinates of all 8 atoms:
1 Mg 0.5000 0.5000 0.0000  2 Bi 2.93, 4 Al 3.08
2 Mg 0.2500 0.7500 0.5000  2 Bi 2.93, 4 Al 3.08
3 Bi 0.0000 0.0000 0.0000  4 Al 2.92, 2 Mg 2.93
4 Bi 0.7500 0.2500 0.5000  4 Al 2.92, 2 Mg 2.93
5 Al 0.6396 0.1250 0.2500  2 Bi 2.92, 2 Al 2.94, 2 Mg 3.08
6 Al 0.1104 0.6250 0.2500  2 Bi 2.92, 2 Al 2.94, 2 Mg 3.08
7 Al 0.3750 0.3604 0.7500  2 Bi 2.92, 2 Al 2.94, 2 Mg 3.08
8 Al 0.8750 0.8896 0.7500  2 Bi 2.92, 2 Al 2.94, 2 Mg 3.08

Summary:
- offset from the most stable computed form (meV per atom) = 7
- ΔH_f (0 K) (eV/atom) = 0.242

Entry 2:
A plane-wave DFT calculation with GGA-PBE was carried out for Mg2AlBi after structural relaxation.

Unit cell a=8.1953 b=8.1953 c=6.5480 alpha=51.26 beta=51.26 gamma=90.00
With the nearest neighbours (Å) after each atom.
Fractional coordinates of all 8 atoms:
1 Mg 0.6119 0.1250 0.2500  2 Al 2.92, 2 Mg 3.06, 2 Bi 3.07
2 Mg 0.1381 0.6250 0.2500  2 Al 2.92, 2 Mg 3.06, 2 Bi 3.07
3 Mg 0.3750 0.3881 0.7500  2 Al 2.92, 2 Mg 3.06, 2 Bi 3.07
4 Mg 0.8750 0.8619 0.7500  2 Al 2.92, 2 Mg 3.06, 2 Bi 3.07
5 Bi 0.0000 0.0000 0.0000  2 Al 3.05, 4 Mg 3.07
6 Bi 0.7500 0.2500 0.5000  2 Al 3.05, 4 Mg 3.07
7 Al 0.5000 0.5000 0.0000  4 Mg 2.92, 2 Bi 3.05
8 Al 0.2500 0.7500 0.5000  4 Mg 2.92, 2 Bi 3.05

Summary:
- offset from the most stable computed form (meV per atom) = 199
- ΔH_f (0 K) (eV/atom) = 0.198

Entry 3:
A plane-wave DFT calculation with GGA-PBE was carried out for Mg2AlBi after structural relaxation.

Unit cell a=4.4410 b=4.6094 c=4.6094 alpha=90.00 beta=90.00 gamma=90.00
With the nearest neighbours (Å) after each atom.
Fractional coordinates of all 4 atoms:
1 Mg 0.0000 0.0000 0.5000  4 Al 3.20, 4 Bi 3.20, 4 Mg 3.26
2 Mg 0.0000 0.5000 0.0000  4 Bi 3.20, 4 Al 3.20, 4 Mg 3.26
3 Bi 0.5000 0.0000 0.0000  8 Mg 3.20, 4 Al 3.26
4 Al 0.5000 0.5000 0.5000  8 Mg 3.20, 4 Bi 3.26

Summary:
- offset from the most stable computed form (meV per atom) = 0
- ΔH_f (0 K) (eV/atom) = -0.001

Entry 4:
A plane-wave DFT calculation with GGA-PBE was carried out for Mg2AlBiN after structural relaxation.

Unit cell a=4.4545 b=4.4545 c=4.3820 alpha=90.00 beta=90.00 gamma=90.00
With the nearest neighbours (Å) after each atom.
Fractional coordinates of all 5 atoms:
1 Mg 0.0000 0.5000 0.0000  2 N 2.23
2 Mg 0.5000 0.0000 0.0000  2 N 2.23
3 N 0.0000 0.0000 0.0000  2 Al 2.19, 4 Mg 2.23
4 Bi 0.5000 0.5000 0.5000  8 Mg 3.12, 4 Al 3.15
5 Al 0.0000 0.0000 0.5000  2 N 2.19

Summary:
- formation energy from raw total energies (eV/atom) = -0.246

Entry 5:
A plane-wave DFT calculation with GGA-PBE was carried out for MgNb2AlBi after structural relaxation.

Unit cell a=4.8960 b=4.8289 c=4.8960 alpha=90.00 beta=90.00 gamma=90.00
With the nearest neighbours (Å) after each atom.
Fractional coordinates of all 5 atoms:
1 Mg 0.0000 0.5000 0.0000  2 Al 2.41
2 Nb 0.0000 0.0000 0.5000  2 Al 2.45
3 Nb 0.5000 0.0000 0.0000  2 Al 2.45
4 Bi 0.5000 0.5000 0.5000  8 Nb 3.44, 4 Mg 3.46
5 Al 0.0000 0.0000 0.0000  2 Mg 2.41, 4 Nb 2.45

Summary:
- ΔH_f (0 K) (eV/atom) = 0.834

Entry 6:
A plane-wave DFT calculation with GGA-PBE was carried out for Mg6AlBiO8 after structural relaxation.

Unit cell a=4.4103 b=4.4103 c=9.5033 alpha=90.00 beta=90.00 gamma=90.00
With the nearest neighbours (Å) after each atom.
Fractional coordinates of all 16 atoms:
1 Mg 0.5000 0.5000 0.0000  6 O 2.21-2.32
2 Mg 0.5000 0.5000 0.5000  6 O 2.21-2.43
3 Mg 0.0000 0.5000 0.2333  5 O 2.21-2.25
4 Mg 0.0000 0.5000 0.7667  5 O 2.21-2.25
5 Mg 0.5000 0.0000 0.2333  5 O 2.21-2.25
6 Mg 0.5000 0.0000 0.7667  5 O 2.21-2.25
7 Al 0.0000 0.0000 0.0000  2 O 1.77
8 Bi 0.0000 0.0000 0.5000  4 O 2.21
9 O 0.0000 0.0000 0.1861  1 Al 1.77
10 O 0.0000 0.0000 0.8139  1 Al 1.77
11 O 0.5000 0.5000 0.2442  6 Mg 2.21-2.43
12 O 0.5000 0.5000 0.7558  6 Mg 2.21-2.43
13 O 0.0000 0.5000 0.0000  4 Mg 2.21-2.22, 2 Al 2.21
14 O 0.0000 0.5000 0.5000  2 Bi 2.21, 2 Mg 2.21
15 O 0.5000 0.0000 0.0000  4 Mg 2.21-2.22, 2 Al 2.21
16 O 0.5000 0.0000 0.5000  2 Bi 2.21, 2 Mg 2.21

Summary:
- formation energy from raw total energies (eV/atom) = -2.118
- offset from the most stable computed form (meV per atom) = 0

Entry 7:
A plane-wave DFT calculation with GGA-PBE was carried out for Mg6AlBiO8 after structural relaxation.

Unit cell a=4.5636 b=4.5636 c=8.8866 alpha=90.00 beta=90.00 gamma=90.00
With the nearest neighbours (Å) after each atom.
Fractional coordinates of all 16 atoms:
1 Mg 0.0000 0.0000 0.5000  6 O 2.08-2.28
2 Mg 0.5000 0.5000 0.5000  2 O 2.02
3 Mg 0.0000 0.5000 0.2670  5 O 2.07-2.28
4 Mg 0.0000 0.5000 0.7330  5 O 2.07-2.28
5 Mg 0.5000 0.0000 0.2670  5 O 2.07-2.28
6 Mg 0.5000 0.0000 0.7330  5 O 2.07-2.28
7 Al 0.0000 0.0000 0.0000  6 O 2.28-2.37
8 Bi 0.5000 0.5000 0.0000  6 O 2.28-2.43
9 O 0.0000 0.0000 0.2665  5 Mg 2.08-2.28
10 O 0.0000 0.0000 0.7335  5 Mg 2.08-2.28
11 O 0.5000 0.5000 0.2729  1 Mg 2.02
12 O 0.5000 0.5000 0.7271  1 Mg 2.02
13 O 0.0000 0.5000 0.0000  2 Bi 2.28, 2 Al 2.28, 2 Mg 2.37
14 O 0.0000 0.5000 0.5000  6 Mg 2.07-2.28
15 O 0.5000 0.0000 0.0000  2 Bi 2.28, 2 Al 2.28, 2 Mg 2.37
16 O 0.5000 0.0000 0.5000  6 Mg 2.07-2.28

Summary:
- formation energy from raw total energies (eV/atom) = -2.021
- offset from the most stable computed form (meV per atom) = 97

Entry 8:
A plane-wave DFT calculation with GGA-PBE was carried out for MgAlBiPb after structural relaxation.

Unit cell a=5.2676 b=5.2676 c=5.2676 alpha=60.00 beta=60.00 gamma=60.00
With the nearest neighbours (Å) after each atom.
Fractional coordinates of all 4 atoms:
1 Pb 0.7500 0.7500 0.7500  4 Mg 3.23, 4 Al 3.23
2 Mg 0.0000 0.0000 0.0000  4 Pb 3.23, 4 Bi 3.23
3 Bi 0.2500 0.2500 0.2500  4 Mg 3.23, 4 Al 3.23
4 Al 0.5000 0.5000 0.5000  4 Pb 3.23, 4 Bi 3.23

Summary:
- ΔH_f (0 K) (eV/atom) = 0.126

Entry 9:
A plane-wave DFT calculation with GGA-PBE was carried out for Mg2AlBiRh after structural relaxation.

Unit cell a=4.9798 b=4.9798 c=4.7280 alpha=90.00 beta=90.00 gamma=90.00
With the nearest neighbours (Å) after each atom.
Fractional coordinates of all 5 atoms:
1 Mg 0.0000 0.5000 0.0000  2 Rh 2.49
2 Mg 0.5000 0.0000 0.0000  2 Rh 2.49
3 Rh 0.0000 0.0000 0.0000  2 Al 2.36, 4 Mg 2.49
4 Bi 0.5000 0.5000 0.5000  8 Mg 3.43, 4 Al 3.52
5 Al 0.0000 0.0000 0.5000  2 Rh 2.36

Summary:
- ΔH_f (0 K) (eV/atom) = -0.123

Entry 10:
A plane-wave DFT calculation with GGA-PBE was carried out for MgAlBiSb after structural relaxation.

Unit cell a=5.1972 b=5.1972 c=5.1972 alpha=60.00 beta=60.00 gamma=60.00
With the nearest neighbours (Å) after each atom.
Fractional coordinates of all 4 atoms:
1 Sb 0.0000 0.0000 0.0000  4 Al 3.18, 4 Mg 3.18
2 Mg 0.7500 0.7500 0.7500  4 Sb 3.18, 4 Bi 3.18
3 Bi 0.5000 0.5000 0.5000  4 Mg 3.18, 4 Al 3.18
4 Al 0.2500 0.2500 0.2500  4 Bi 3.18, 4 Sb 3.18

Summary:
- formation energy from raw total energies (eV/atom) = 0.117

Entry 11:
A plane-wave DFT calculation with GGA-PBE was carried out for Sr2MgAlBi after structural relaxation.

Unit cell a=6.1953 b=5.4696 c=6.1953 alpha=90.00 beta=90.00 gamma=90.00
With the nearest neighbours (Å) after each atom.
Fractional coordinates of all 5 atoms:
1 Sr 0.0000 0.0000 0.5000  2 Al 3.10
2 Sr 0.5000 0.0000 0.0000  2 Al 3.10
3 Mg 0.5000 0.5000 0.5000  8 Sr 4.13, 4 Bi 4.38
4 Bi 0.0000 0.5000 0.0000  2 Al 2.73
5 Al 0.0000 0.0000 0.0000  2 Bi 2.73

Summary:
- ΔH_f (0 K) (eV/atom) = 0.121

Entry 12:
A plane-wave DFT calculation with GGA-PBE was carried out for Mn2Al2Bi after structural relaxation.

Unit cell a=4.0652 b=4.0652 c=6.4514 alpha=71.64 beta=71.64 gamma=90.00
With the nearest neighbours (Å) after each atom.
Fractional coordinates of all 5 atoms:
1 Mn 0.7500 0.2500 0.5000  4 Al 2.57
2 Mn 0.2500 0.7500 0.5000  4 Al 2.57
3 Bi 0.0000 0.0000 0.0000  8 Al 3.16, 8 Mn 3.53
4 Al 0.3856 0.3856 0.2287  4 Mn 2.57, 1 Al 2.64
5 Al 0.6144 0.6144 0.7713  4 Mn 2.57, 1 Al 2.64

Summary:
- offset from the most stable computed form (meV per atom) = 159
- ΔH_f (0 K) (eV/atom) = 0.331